1.
# Sr2In5IrPd2, optimized geometry, DFT PBE
data_Sr2In5IrPd2
_cell_length_a 10.874
_cell_length_b 10.874
_cell_length_c 3.951
_cell_angle_alpha 90.00
_cell_angle_beta 90.00
_cell_angle_gamma 90.00
_symmetry_space_group_name_H-M 'P 1'
_symmetry_Int_Tables_number 1
loop_
_symmetry_equiv_pos_as_xyz
'x,y,z'
loop_
_atom_site_label
_atom_site_fract_x
_atom_site_fract_y
_atom_site_fract_z
Sr1 0.183 0.317 0.000
Sr2 0.317 0.817 0.000
Sr3 0.683 0.183 0.000
Sr4 0.817 0.683 0.000
In1 0.000 0.500 0.500
In2 0.051 0.809 0.500
In3 0.191 0.051 0.500
In4 0.309 0.551 0.500
In5 0.449 0.309 0.500
In6 0.500 0.000 0.500
In7 0.551 0.691 0.500
In8 0.691 0.449 0.500
In9 0.809 0.949 0.500
In10 0.949 0.191 0.500
Ir1 0.000 0.000 0.000
Ir2 0.500 0.500 0.000
Pd1 0.121 0.621 0.000
Pd2 0.379 0.121 0.000
Pd3 0.621 0.879 0.000
Pd4 0.879 0.379 0.000
# energy relative to the elements: -0.336 eV per atom
# calculated volume: 467.21 Å³ per cell
# calculated total energy: -3.966 eV per atom

2.
# SrIn3IrPd, optimized geometry, DFT PBE
data_SrIn3IrPd
_cell_length_a 6.682
_cell_length_b 6.682
_cell_length_c 8.218
_cell_angle_alpha 90.00
_cell_angle_beta 90.00
_cell_angle_gamma 119.22
_symmetry_space_group_name_H-M 'P 1'
_symmetry_Int_Tables_number 1
loop_
_symmetry_equiv_pos_as_xyz
'x,y,z'
loop_
_atom_site_label
_atom_site_fract_x
_atom_site_fract_y
_atom_site_fract_z
Sr1 0.233 0.767 0.750
Sr2 0.767 0.233 0.250
In1 0.242 0.242 0.000
In2 0.242 0.242 0.500
In3 0.272 0.728 0.250
In4 0.728 0.272 0.750
In5 0.758 0.758 0.000
In6 0.758 0.758 0.500
Ir1 0.051 0.949 0.250
Ir2 0.949 0.051 0.750
Pd1 0.497 0.503 0.250
Pd2 0.503 0.497 0.750
# energy relative to the elements: -0.251 eV per atom
# calculated volume: 320.25 Å³ per cell
# calculated total energy: -4.243 eV per atom

3.
# TbInIrPd, optimized geometry, DFT PBE
data_TbInIrPd
_cell_length_a 6.751
_cell_length_b 6.751
_cell_length_c 6.751
_cell_angle_alpha 90.00
_cell_angle_beta 90.00
_cell_angle_gamma 90.00
_symmetry_space_group_name_H-M 'P 1'
_symmetry_Int_Tables_number 1
loop_
_symmetry_equiv_pos_as_xyz
'x,y,z'
loop_
_atom_site_label
_atom_site_fract_x
_atom_site_fract_y
_atom_site_fract_z
Tb1 0.000 0.000 0.000
Tb2 0.000 0.500 0.500
Tb3 0.500 0.000 0.500
Tb4 0.500 0.500 0.000
In1 0.000 0.000 0.500
In2 0.000 0.500 0.000
In3 0.500 0.000 0.000
In4 0.500 0.500 0.500
Ir1 0.250 0.250 0.250
Ir2 0.250 0.750 0.750
Ir3 0.750 0.250 0.750
Ir4 0.750 0.750 0.250
Pd1 0.250 0.250 0.750
Pd2 0.250 0.750 0.250
Pd3 0.750 0.250 0.250
Pd4 0.750 0.750 0.750
# energy relative to the elements: -0.651 eV per atom
# calculated volume: 307.74 Å³ per cell
# calculated total energy: -6.007 eV per atom

4.
# Tb5In2Ir2Pd, optimized geometry, DFT PBE
data_Tb5In2Ir2Pd
_cell_length_a 11.679
_cell_length_b 11.679
_cell_length_c 3.641
_cell_angle_alpha 90.00
_cell_angle_beta 90.00
_cell_angle_gamma 90.00
_symmetry_space_group_name_H-M 'P 1'
_symmetry_Int_Tables_number 1
loop_
_symmetry_equiv_pos_as_xyz
'x,y,z'
loop_
_atom_site_label
_atom_site_fract_x
_atom_site_fract_y
_atom_site_fract_z
Tb1 0.000 0.500 0.000
Tb2 0.072 0.198 0.000
Tb3 0.198 0.928 0.000
Tb4 0.302 0.428 0.000
Tb5 0.428 0.698 0.000
Tb6 0.500 0.000 0.000
Tb7 0.572 0.302 0.000
Tb8 0.698 0.572 0.000
Tb9 0.802 0.072 0.000
Tb10 0.928 0.802 0.000
In1 0.175 0.675 0.500
In2 0.325 0.175 0.500
In3 0.675 0.825 0.500
In4 0.825 0.325 0.500
Ir1 0.136 0.364 0.500
Ir2 0.364 0.864 0.500
Ir3 0.636 0.136 0.500
Ir4 0.864 0.636 0.500
Pd1 0.000 0.000 0.500
Pd2 0.500 0.500 0.500
# energy relative to the elements: -0.664 eV per atom
# calculated volume: 496.57 Å³ per cell
# calculated total energy: -5.818 eV per atom